(1)
Material: LaIn2Br
Method: DFT, GGA-PBE
State: relaxed

Properties
Crystal system ... trigonal
Uncorrected energy ... -3.307 eV per atom
ΔE_f (raw) ... -0.287 eV per atom
Total magnetic moment ... 0.00 μB per cell
SG ... No. 166

a b c (Å): 10.2957 10.2957 10.2957
angles (deg): 20.73 20.73 20.73
Positions (direct):
In 0.0054 0.0054 0.0054
In 0.4946 0.4946 0.4946
Br 0.7500 0.7500 0.7500
La 0.2500 0.2500 0.2500

=====

(2)
Material: Nd5AlIn2
Method: DFT, GGA-PBE
State: relaxed

Properties
Crystal system ... tetragonal
Uncorrected energy ... -4.420 eV per atom
Total magnetic moment ... 0.01 μB per cell
Energy relative to the elements ... -0.288 eV/atom
SG ... No. 140

a b c (Å): 8.2584 8.2584 9.3316
angles (deg): 116.26 116.26 90.00
Positions (direct):
Nd 0.5174 0.6740 0.6913
Nd 0.8260 0.9826 0.3087
Nd 0.0000 0.0000 0.0000
Nd 0.5000 0.5000 0.0000
Nd 0.1740 0.0174 0.6913
Nd 0.6740 0.1740 0.6913
Nd 0.0174 0.5174 0.6913
Nd 0.3260 0.8260 0.3087
Nd 0.9826 0.4826 0.3087
Nd 0.4826 0.3260 0.3087
Al 0.7500 0.7500 0.5000
Al 0.2500 0.2500 0.5000
In 0.1245 0.3755 0.0000
In 0.6245 0.1245 0.0000
In 0.3755 0.8755 0.0000
In 0.8755 0.6245 0.0000

=====

(3)
Material: FeTcP
Method: DFT, GGA-PBE
State: relaxed

Properties
Crystal system ... orthorhombic
Uncorrected energy ... -7.929 eV per atom
Total magnetic moment ... 2.66 μB per cell
Energy relative to the elements ... 0.151 eV/atom
SG ... No. 42

a b c (Å): 5.8491 5.6006 2.8189
angles (deg): 80.70 70.90 28.40
Each line ends with the local moment (μB).
Positions (direct):
Fe 0.9828 0.9828 0.0172  2.24
P 0.3368 0.3368 0.6632  -0.04
Tc 0.6804 0.6804 0.3196  0.47

=====

(4)
Material: Y5Si2B8
Method: DFT, GGA-PBE
State: relaxed

Properties
Crystal system ... tetragonal
Uncorrected energy ... -7.117 eV per atom
ΔE_f (raw) ... -0.678 eV per atom
Total magnetic moment ... 0.00 μB per cell
SG ... No. 127

a b c (Å): 7.2429 7.2429 8.1131
angles (deg): 90.00 90.00 90.00
Positions (direct):
Y 0.6807 0.1807 0.2239
Y 0.3193 0.8193 0.7761
Y 0.3193 0.8193 0.2239
Y 0.8193 0.6807 0.2239
Y 0.8193 0.6807 0.7761
Y 0.6807 0.1807 0.7761
Y 0.1807 0.3193 0.7761
Y 0.1807 0.3193 0.2239
Y 0.0000 0.0000 0.5000
Y 0.5000 0.5000 0.5000
Si 0.1150 0.6150 0.5000
Si 0.8850 0.3850 0.5000
Si 0.3850 0.1150 0.5000
Si 0.6150 0.8850 0.5000
B 0.1722 0.0393 0.0000
B 0.8278 0.9607 0.0000
B 0.9607 0.1722 0.0000
B 0.3278 0.5393 0.0000
B 0.0393 0.8278 0.0000
B 0.6722 0.4607 0.0000
B 0.5393 0.6722 0.0000
B 0.4607 0.3278 0.0000
B 0.0903 0.5903 0.0000
B 0.9097 0.4097 0.0000
B 0.4097 0.0903 0.0000
B 0.5903 0.9097 0.0000
B 0.0000 0.0000 0.1615
B 0.0000 0.0000 0.8385
B 0.5000 0.5000 0.8385
B 0.5000 0.5000 0.1615